Below is an optimized crystal structure of LiTaRu2, with properties calculated at the GGA-PBE level.

Offset from the most stable computed form: 0.047 eV/atom
Space-group type: No. 123
Calculated formation energy: -0.15 eV per atom
Final energy: -32.93 eV for the cell shown
N(E_F): 3.297 states/eV/cell
Spin magnetization: 0.000 μB/atom

Geometry as extended XYZ:
```
4
Lattice="-1.284 2.344 -1.630 -1.965 -2.022 -1.360 -3.860 0.868 4.287" Properties=species:S:1:pos:R:3 pbc="T T T"
Ta -2.589 0.378 -0.424
Ru -3.806 0.855 4.226
Ru -1.984 0.446 2.204
Li -4.519 0.812 1.720
```

***

Below is an optimized crystal structure of BC2, with properties calculated at the GGA-PBE level.

Offset from the most stable computed form: 0.108 eV/atom
Space-group type: No. 12
Calculated formation energy: 0.35 eV per atom
Final energy: -96.32 eV for the cell shown
N(E_F): 0.779 states/eV/cell
Spin magnetization: 0.000 μB/atom

Geometry as extended XYZ:
```
12
Lattice="4.534 -0.054 -0.889 -2.507 3.779 -0.889 -0.093 -0.170 4.757" Properties=species:S:1:pos:R:3 pbc="T T T"
B 0.613 1.129 -0.428
B 1.101 2.025 1.846
B 2.803 2.352 -1.317
B -1.244 3.301 1.846
C 3.051 0.016 -0.018
C 1.727 3.349 1.310
C 1.869 3.609 -1.670
C 2.035 0.767 2.199
C -0.287 2.268 3.877
C 3.359 0.582 1.435
C -0.437 1.992 2.298
C 2.176 1.027 -0.781
```

***

Below is an optimized crystal structure of RbSc, with properties calculated at the GGA-PBE level.

Space-group type: No. 87
Calculated formation energy: 0.47 eV per atom
Final energy: -50.93 eV for the cell shown
N(E_F): 25.715 states/eV/cell
Spin magnetization: 0.057 μB/atom

Geometry as extended XYZ:
```
16
Lattice="14.133 0.000 0.000 0.000 14.133 0.000 0.000 0.000 3.808" Properties=species:S:1:pos:R:3 pbc="T T T"
Sc 0.521 5.463 0.000
Sc 5.463 13.612 0.000
Sc 12.530 6.546 1.904
Sc 7.588 12.530 1.904
Sc 1.603 7.588 1.904
Sc 8.670 0.521 0.000
Sc 6.546 1.603 1.904
Sc 13.612 8.670 0.000
Rb 4.625 5.198 0.000
Rb 9.508 8.935 0.000
Rb 8.935 4.625 0.000
Rb 2.442 1.869 1.904
Rb 5.198 9.508 0.000
Rb 1.869 11.692 1.904
Rb 11.692 12.265 1.904
Rb 12.265 2.442 1.904
```

***

Below is an optimized crystal structure of KRbHg12, with properties calculated at the GGA-PBE level.

Space-group type: No. 123
Calculated formation energy: 0.09 eV per atom
Final energy: -4.36 eV for the cell shown
N(E_F): 7.262 states/eV/cell
Spin magnetization: 0.000 μB/atom

Geometry as extended XYZ:
```
14
Lattice="-3.370 0.986 -6.107 -4.735 -4.887 1.823 -8.310 10.388 6.263" Properties=species:S:1:pos:R:3 pbc="T T T"
Hg -11.571 7.448 3.525
Hg -11.308 6.141 0.705
Hg -7.563 -0.837 -0.024
Hg -11.721 4.361 3.109
Hg -4.693 2.126 -1.130
Hg -5.107 0.346 1.274
Hg -7.414 2.252 0.392
Hg -9.000 4.234 1.587
Hg -8.851 7.323 2.004
Hg -7.150 0.944 -2.428
Hg -9.265 5.543 4.408
Hg -4.843 -0.961 -1.545
Rb -4.155 5.194 3.131
K 0.000 0.000 0.000
```

***

Below is an optimized crystal structure of KSr2Pb2, with properties calculated at the GGA-PBE level.

Offset from the most stable computed form: 0.000 eV/atom
Space-group type: No. 127
Calculated formation energy: -0.38 eV per atom
Final energy: -27.52 eV for the cell shown
N(E_F): 4.427 states/eV/cell
Spin magnetization: 0.000 μB/atom

Geometry as extended XYZ:
```
10
Lattice="-6.517 -2.785 -6.272 6.848 -3.213 -5.688 -0.212 -3.943 1.972" Properties=species:S:1:pos:R:3 pbc="T T T"
Pb -1.452 -4.444 -9.044
Pb -3.218 -2.129 -4.604
Pb 3.549 -3.869 -7.355
Pb 1.783 -1.554 -2.916
Sr -3.255 -5.355 -6.120
Sr 1.237 -6.505 -7.936
Sr 3.373 -4.586 -3.868
Sr -1.118 -3.436 -2.052
K 0.165 -2.999 -5.980
K 0.000 0.000 0.000
```

***

Below is an optimized crystal structure of K2CaAl, with properties calculated at the GGA-PBE level.

Space-group type: No. 160
Calculated formation energy: 0.23 eV per atom
Final energy: -7.03 eV for the cell shown
N(E_F): 2.214 states/eV/cell
Spin magnetization: 0.000 μB/atom

Geometry as extended XYZ:
```
4
Lattice="13.078 0.096 0.056 12.422 4.090 0.056 12.422 2.039 3.546" Properties=species:S:1:pos:R:3 pbc="T T T"
K 0.231 0.038 0.022
K 8.736 1.434 0.843
Al 18.716 3.072 1.806
Ca 29.201 4.794 2.817
```

***

Below is an optimized crystal structure of LaAlCl2, with properties calculated at the GGA-PBE level.

Offset from the most stable computed form: 0.234 eV/atom
Space-group type: No. 65
Formation energy from raw total energies: -931 meV/atom
Final energy: -16.09 eV for the cell shown
N(E_F): 1.976 states/eV/cell
Spin magnetization: 0.000 μB/atom

Geometry as extended XYZ:
```
4
Lattice="-0.518 -1.536 -3.278 -2.314 -0.727 2.738 -5.610 7.667 -2.705" Properties=species:S:1:pos:R:3 pbc="T T T"
Cl -2.653 3.626 -1.279
Cl -0.152 0.208 -0.073
La -2.819 0.785 -0.947
Al -5.624 4.619 -2.299
```

***

Below is an optimized crystal structure of TaFe2SI, with properties calculated at the GGA-PBE level.

Space-group type: No. 123
Formation energy from raw total energies: 1553 meV/atom
Final energy: -26.69 eV for the cell shown
N(E_F): 6.653 states/eV/cell
Spin magnetization: 0.869 μB/atom

Geometry as extended XYZ:
```
5
Lattice="4.856 0.000 0.000 0.000 5.232 0.000 0.000 0.000 4.856" Properties=species:S:1:pos:R:3 pbc="T T T"
Fe 2.428 0.000 0.000
Fe 0.000 0.000 2.428
S 2.428 2.616 2.428
Ta 0.000 0.000 0.000
I 0.000 2.616 0.000
```

***

- Which formula does entry 8 have?
  TaFe2SI